Entry 1:
Here is a relaxed structure of Cd3CuAg from Alexandria via LeMat-Bulk. Energies are from PBE.

For the uncorrected energy, the calculation gives -8.08 eV per cell. As for the energy above the most stable polymorph in this dataset: 136 kJ/mol of formula units. The formation energy comes out at 0.323 eV/atom.

It has space group Pm-3m (No. 221), with a = 4.971 Å, b = 4.971 Å, c = 4.971 Å, α = 90.00°, β = 90.00° and γ = 90.00°. Symmetry generates all atoms from Cd at (0.000, 0.000, 0.500), Cu at (0.000, 0.000, 0.000) and Ag at (0.500, 0.500, 0.500).


Entry 2:
Here is a relaxed structure of MgIrN2O from Alexandria via LeMat-Bulk. Energies are from PBE.

As for the uncorrected formation energy: 1534 meV/atom. For the uncorrected energy, the calculation gives -24.39 eV per cell.

It has space group P4/mmm (No. 123), with a = 3.857 Å, b = 3.857 Å, c = 3.735 Å, α = 90.00°, β = 90.00° and γ = 90.00°. Symmetry generates all atoms from Mg at (0.000, 0.000, 0.000), Ir at (0.500, 0.500, 0.500), N at (0.000, 0.500, 0.000) and O at (0.000, 0.000, 0.500).


Entry 3:
Here is a relaxed structure of Pm3Dy2Er2 from Alexandria via LeMat-Bulk. Energies are from PBE.

For the uncorrected energy, the calculation gives -64.93 eV per cell. The formation energy comes out at 0.017 eV/atom.

It has space group C2/m (No. 12), with a = 11.289 Å, b = 5.058 Å, c = 8.015 Å, α = 90.00°, β = 98.19° and γ = 90.00°. Symmetry generates all atoms from Pm at (0.000, 0.000, 0.000), Pm at (0.142, 0.000, 0.429), Dy at (0.215, 0.500, 0.141) and Er at (0.072, 0.500, 0.715).


Entry 4:
Here is a relaxed structure of Ba2CoIr from Alexandria via LeMat-Bulk. Energies are from PBE.

For the uncorrected energy, the calculation gives -51.25 eV per cell. As for the energy above the most stable polymorph in this dataset: 282 kJ/mol of formula units. The formation energy comes out at 0.682 eV/atom.

It has space group R-3m (No. 166, hexagonal axes), with a = 4.5484 Å, b = 4.5484 Å, c = 23.3337 Å, α = 90.00°, β = 90.00° and γ = 120.00°. Symmetry generates all atoms from Ba at (0.0000, 0.0000, 0.2387), Co at (0.0000, 0.0000, 0.0000) and Ir at (0.0000, 0.0000, 0.5000).